Entry 1:
! Ta3W (PBE, relaxed); values from VASP
! DOS(E_F): 8.453 states/eV/cell
! calculated formation energy: 1.3 kJ per mole of atoms
! total magnetic moment: 0.00 μB/f.u.
&SYSTEM
  ibrav = 0, nat = 8, ntyp = 2
/
ATOMIC_SPECIES
Ta 180.95 Ta.upf
W 183.84 W.upf
CELL_PARAMETERS angstrom
5.238 0.000 0.000
0.000 5.238 0.000
0.000 0.000 5.238
ATOMIC_POSITIONS angstrom
Ta 0.000 1.309 2.619
Ta 0.000 3.928 2.619
Ta 1.309 2.619 0.000
Ta 2.619 0.000 1.309
Ta 2.619 0.000 3.928
Ta 3.928 2.619 0.000
W 0.000 0.000 0.000
W 2.619 2.619 2.619



Entry 2:
! Zn2PtW (PBE, relaxed); values from VASP
! DOS(E_F): 2.028 states/eV/cell
! calculated formation energy: 1.0 kJ per mole of atoms
! distance to the lowest polymorph of the same formula: 0.49 eV per formula unit
! total magnetic moment: 0.00 μB/f.u.
&SYSTEM
  ibrav = 0, nat = 4, ntyp = 3
/
ATOMIC_SPECIES
Zn 65.41 Zn.upf
Pt 195.08 Pt.upf
W 183.84 W.upf
CELL_PARAMETERS angstrom
4.500 -1.375 0.000
4.500 1.375 0.000
-0.670 0.000 4.908
ATOMIC_POSITIONS angstrom
Zn 0.000 0.000 0.000
Zn 1.714 0.000 3.879
Pt 4.148 0.000 2.473
W 6.563 0.000 1.404



Entry 3:
! Ta2InCo (PBE, relaxed); values from VASP
! DOS(E_F): 4.337 states/eV/cell
! calculated formation energy: 35.8 kJ per mole of atoms
! total magnetic moment: 2.40 μB/f.u.
&SYSTEM
  ibrav = 0, nat = 4, ntyp = 3
/
ATOMIC_SPECIES
Ta 180.95 Ta.upf
In 114.82 In.upf
Co 58.93 Co.upf
CELL_PARAMETERS angstrom
0.000 3.258 3.258
3.258 0.000 3.258
3.258 3.258 0.000
ATOMIC_POSITIONS angstrom
Ta 0.000 0.000 0.000
Ta 1.629 1.629 1.629
In 4.887 4.887 4.887
Co 3.258 3.258 3.258



Entry 4:
! MgNbSN2 (PBE, relaxed); values from VASP
! DOS(E_F): 4.119 states/eV/cell
! distance to the lowest polymorph of the same formula: 6.02 eV per formula unit
! total magnetic moment: 0.06 μB/f.u.
&SYSTEM
  ibrav = 0, nat = 5, ntyp = 4
/
ATOMIC_SPECIES
Mg 24.30 Mg.upf
Nb 92.91 Nb.upf
S 32.06 S.upf
N 14.01 N.upf
CELL_PARAMETERS angstrom
3.833 0.000 0.000
0.000 3.833 0.000
0.000 0.000 4.719
ATOMIC_POSITIONS angstrom
Mg 0.000 0.000 0.000
Nb 1.917 1.917 2.360
S 0.000 0.000 2.360
N 0.000 1.917 0.000
N 1.917 0.000 0.000



Entry 5:
! TcBF2 (PBE, relaxed); values from VASP
! DOS(E_F): 1.876 states/eV/cell
! distance to the lowest polymorph of the same formula: 0.00 eV per formula unit
! total magnetic moment: 1.57 μB/f.u.
&SYSTEM
  ibrav = 0, nat = 4, ntyp = 3
/
ATOMIC_SPECIES
Tc 98.00 Tc.upf
B 10.81 B.upf
F 19.00 F.upf
CELL_PARAMETERS angstrom
1.299 0.750 10.685
-1.299 0.750 10.685
0.000 -1.500 10.685
ATOMIC_POSITIONS angstrom
Tc 0.000 0.000 0.000
B 0.000 0.000 16.028
F 0.000 0.000 14.686
F 0.000 0.000 17.370



Entry 6:
! La8InPb2 (PBE, relaxed); values from VASP
! DOS(E_F): 15.584 states/eV/cell
! calculated formation energy: -28.3 kJ per mole of atoms
! total magnetic moment: 0.00 μB/f.u.
&SYSTEM
  ibrav = 0, nat = 11, ntyp = 3
/
ATOMIC_SPECIES
La 138.91 La.upf
In 114.82 In.upf
Pb 207.20 Pb.upf
CELL_PARAMETERS angstrom
-2.548 4.761 7.720
2.548 -4.761 7.720
2.548 4.761 -7.720
ATOMIC_POSITIONS angstrom
La 2.548 2.552 -2.469
La 0.000 0.000 2.333
La 0.000 2.830 0.000
La 2.548 2.552 2.469
La 0.000 2.209 5.251
La 0.000 6.691 0.000
La 0.000 0.000 13.108
La 0.000 2.209 10.190
In 2.548 0.000 0.000
Pb 2.548 0.000 4.815
Pb 0.000 4.761 2.905



Entry 7:
! RbH2Se (PBE, relaxed); values from VASP
! DOS(E_F): 0.000 states/eV/cell
! distance to the lowest polymorph of the same formula: 0.00 eV per formula unit
! total magnetic moment: 0.00 μB/f.u.
&SYSTEM
  ibrav = 0, nat = 8, ntyp = 3
/
ATOMIC_SPECIES
Rb 85.47 Rb.upf
H 1.01 H.upf
Se 78.96 Se.upf
CELL_PARAMETERS angstrom
2.649 -6.248 0.000
2.649 6.248 0.000
0.000 0.000 5.140
ATOMIC_POSITIONS angstrom
Rb 2.649 4.704 3.855
Rb 2.649 -4.704 1.285
H 2.649 2.758 0.907
H 2.649 2.758 1.663
H 2.649 -2.758 3.477
H 2.649 -2.758 4.233
Se 2.649 0.469 3.855
Se 2.649 -0.469 1.285



Entry 8:
! Cu2TeAuI8 (PBE, relaxed); values from VASP
! DOS(E_F): 8.545 states/eV/cell
! total magnetic moment: 0.00 μB/f.u.
&SYSTEM
  ibrav = 0, nat = 12, ntyp = 4
/
ATOMIC_SPECIES
Cu 63.55 Cu.upf
Te 127.60 Te.upf
Au 196.97 Au.upf
I 126.90 I.upf
CELL_PARAMETERS angstrom
8.378 -4.172 0.000
8.378 4.172 0.000
-4.468 0.000 7.465
ATOMIC_POSITIONS angstrom
Cu 0.980 0.000 1.052
Cu 11.307 0.000 6.413
Te 8.378 0.000 0.000
Au -2.234 0.000 3.733
I 6.307 2.122 0.021
I 0.348 0.000 3.516
I 5.980 2.122 7.445
I 4.829 0.000 3.481
I 7.458 0.000 3.984
I 6.307 -2.122 0.021
I 11.939 0.000 3.949
I 5.980 -2.122 7.445



Entry 9:
! Sr2MnZnAs (PBE, relaxed); values from VASP
! DOS(E_F): 3.126 states/eV/cell
! calculated formation energy: 1.9 kJ per mole of atoms
! total magnetic moment: 2.88 μB/f.u.
&SYSTEM
  ibrav = 0, nat = 5, ntyp = 4
/
ATOMIC_SPECIES
Sr 87.62 Sr.upf
Mn 54.94 Mn.upf
Zn 65.41 Zn.upf
As 74.92 As.upf
CELL_PARAMETERS angstrom
5.882 0.000 0.000
0.000 5.882 0.000
0.000 0.000 4.568
ATOMIC_POSITIONS angstrom
Sr 0.000 2.941 0.000
Sr 2.941 0.000 0.000
Mn 0.000 0.000 0.000
Zn 2.941 2.941 2.284
As 0.000 0.000 2.284



Entry 10:
! La8Al2Ge (PBE, relaxed); values from VASP
! DOS(E_F): 11.479 states/eV/cell
! calculated formation energy: -27.3 kJ per mole of atoms
! total magnetic moment: 0.00 μB/f.u.
&SYSTEM
  ibrav = 0, nat = 11, ntyp = 3
/
ATOMIC_SPECIES
La 138.91 La.upf
Al 26.98 Al.upf
Ge 72.64 Ge.upf
CELL_PARAMETERS angstrom
9.495 -2.635 0.000
9.495 2.635 0.000
-2.347 0.000 6.871
ATOMIC_POSITIONS angstrom
La -0.531 0.000 1.832
La 2.096 0.000 5.494
La 5.239 0.000 3.714
La 7.645 0.000 0.299
La 8.999 0.000 6.572
La 11.404 0.000 3.157
La 14.548 0.000 1.377
La 17.174 0.000 5.039
Al 2.800 0.000 1.464
Al 13.843 0.000 5.407
Ge 8.322 0.000 3.436



Entry 11:
! BeAlAs2Se (PBE, relaxed); values from VASP
! DOS(E_F): 4.491 states/eV/cell
! distance to the lowest polymorph of the same formula: 2.06 eV per formula unit
! total magnetic moment: 0.00 μB/f.u.
&SYSTEM
  ibrav = 0, nat = 5, ntyp = 4
/
ATOMIC_SPECIES
Be 9.01 Be.upf
Al 26.98 Al.upf
As 74.92 As.upf
Se 78.96 Se.upf
CELL_PARAMETERS angstrom
4.826 0.000 0.000
0.000 4.826 0.000
0.000 0.000 4.856
ATOMIC_POSITIONS angstrom
Be 0.000 0.000 0.000
Al 2.413 2.413 2.428
As 0.000 2.413 2.428
As 2.413 0.000 2.428
Se 2.413 2.413 0.000



Entry 12:
! K4ZrSe4 (PBE, relaxed); values from VASP
! DOS(E_F): 0.000 states/eV/cell
! total magnetic moment: 0.00 μB/f.u.
&SYSTEM
  ibrav = 0, nat = 18, ntyp = 3
/
ATOMIC_SPECIES
K 39.10 K.upf
Zr 91.22 Zr.upf
Se 78.96 Se.upf
CELL_PARAMETERS angstrom
9.301 0.000 0.000
0.000 9.301 0.000
0.000 0.000 7.508
ATOMIC_POSITIONS angstrom
K 0.241 2.325 0.819
K 2.325 0.241 4.574
K 2.325 4.410 4.574
K 4.410 2.325 0.819
K 4.891 6.976 6.689
K 6.976 4.891 2.935
K 6.976 9.061 2.935
K 9.061 6.976 6.689
Zr 2.325 6.976 1.877
Zr 6.976 2.325 5.631
Se 0.265 6.976 3.374
Se 2.325 4.916 0.380
Se 2.325 9.036 0.380
Se 4.386 6.976 3.374
Se 4.916 2.325 4.134
Se 6.976 0.265 7.128
Se 6.976 4.386 7.128
Se 9.036 2.325 4.134



| no. | final energy (hartree per atom) |
| --- | --- |
| 1 | -0.4452 |
| 2 | -0.1975 |
| 3 | -0.2946 |
| 4 | -0.2004 |
| 5 | -0.2038 |
| 6 | -0.1764 |
| 7 | -0.1176 |
| 8 | -0.0830 |
| 9 | -0.1349 |
| 10 | -0.1825 |
| 11 | -0.1167 |
| 12 | -0.1577 |